[1]
BaTaIr2 after structural relaxation. Source: Alexandria, functional PBE-GGA.

POSCAR file:
```
BaTaIr2
1.0
6.748 0.000 0.000
0.000 6.748 0.000
0.000 0.000 6.748
Ba Ta Ir
4 4 8
Direct
0.000 0.000 0.000
0.000 0.500 0.500
0.500 0.000 0.500
0.500 0.500 0.000
0.250 0.250 0.750
0.250 0.750 0.250
0.750 0.250 0.250
0.750 0.750 0.750
0.000 0.000 0.500
0.000 0.500 0.000
0.250 0.250 0.250
0.250 0.750 0.750
0.500 0.000 0.000
0.500 0.500 0.500
0.750 0.250 0.750
0.750 0.750 0.250
```

Output
ΔE to the lowest computed polymorph, meV per atom: 995
E_form, eV per atom: 0.779
Spin magnetization, μB/atom: 0.000
DFT total energy, eV per atom: -7.095

***

[2]
FeCuPb2 after structural relaxation. Source: Alexandria, functional PBE-GGA.

POSCAR file:
```
FeCuPb2
1.0
6.917 0.000 0.000
0.000 6.917 0.000
0.000 0.000 6.917
Fe Cu Pb
4 4 8
Direct
0.000 0.000 0.000
0.000 0.500 0.500
0.500 0.000 0.500
0.500 0.500 0.000
0.000 0.000 0.500
0.000 0.500 0.000
0.500 0.000 0.000
0.500 0.500 0.500
0.250 0.250 0.250
0.250 0.250 0.750
0.250 0.750 0.250
0.250 0.750 0.750
0.750 0.250 0.250
0.750 0.250 0.750
0.750 0.750 0.250
0.750 0.750 0.750
```

Output
ΔE to the lowest computed polymorph, meV per atom: 218
E_form, eV per atom: 0.549
Spin magnetization, μB/atom: 0.698
DFT total energy, eV per atom: -4.445